Entry from the Alexandria database: a geometry-optimized Gd2AlZn structure (PBE).

Computed properties:
The value obtained for the theoretical density is 6.136 g cm⁻³. As for the calculated volume: 27.5 Å³ per atom. For the energy, the calculation gives -8.129 eV per atom. Its total moment is 3.636 μB/atom.

Unit cell a=3.431 b=3.431 c=10.981 alpha=81.01 beta=81.01 gamma=60.00
Last column: magnetic moment on the atom in μB.
Fractional coordinates of all 4 atoms:
Gd1 0.095 0.095 0.714  7.11
Gd2 0.905 0.905 0.286  7.11
Al1 0.500 0.500 0.500  -0.03
Zn1 0.000 0.000 0.000  0.01

Entry from the Alexandria database: a geometry-optimized In2RuPtN structure (PBE).

Computed properties:
The value obtained for the theoretical density is 10.279 g cm⁻³. As for the calculated volume: 17.4 Å³ per atom. For the formation energy without anion corrections, the calculation gives 3.36 eV/f.u. Its total moment is 0.174 μB/atom.

Unit cell a=4.761 b=3.847 c=4.761 alpha=90.00 beta=90.00 gamma=90.00
Last column: magnetic moment on the atom in μB.
Fractional coordinates of all 5 atoms:
N1 0.000 0.000 0.000  0.03
In1 0.000 0.000 0.500  -0.01
In2 0.500 0.000 0.000  -0.02
Ru1 0.500 0.500 0.500  0.70
Pt1 0.000 0.500 0.000  0.15

Entry from the Alexandria database: a geometry-optimized NdDyY5Sc2 structure (PBE).

Computed properties:
The value obtained for the theoretical density is 4.911 g cm⁻³. As for the calculated volume: 31.6 Å³ per atom. For the energy, the calculation gives -5.872 eV per atom. Its total moment is 0.000 μB/atom.

Unit cell a=5.635 b=11.119 c=9.386 alpha=90.00 beta=90.00 gamma=104.68
Fractional coordinates of all 18 atoms:
Y1 0.469 0.938 0.748
Y2 0.735 0.471 0.836
Y3 0.531 0.062 0.248
Y4 0.307 0.614 0.716
Y5 0.693 0.386 0.216
Y6 0.265 0.529 0.336
Y7 0.991 0.982 0.515
Y8 0.389 0.779 0.046
Y9 0.009 0.018 0.015
Y10 0.611 0.221 0.546
Nd1 0.184 0.368 0.019
Nd2 0.816 0.632 0.519
Dy1 0.597 0.195 0.918
Dy2 0.403 0.805 0.418
Sc1 0.136 0.273 0.701
Sc2 0.113 0.226 0.325
Sc3 0.887 0.774 0.825
Sc4 0.864 0.727 0.201

Entry from the Alexandria database: a geometry-optimized YPa5C6 structure (PBE).

Computed properties:
The value obtained for the theoretical density is 10.999 g cm⁻³. As for the calculated volume: 16.6 Å³ per atom. For the energy, the calculation gives -9.540 eV per atom. Its total moment is 0.000 μB/atom.

Unit cell a=6.248 b=6.238 c=6.242 alpha=60.02 beta=80.42 gamma=70.54
Fractional coordinates of all 12 atoms:
Y1 0.000 0.000 0.000
C1 0.742 0.085 0.347
C2 0.258 0.567 0.347
C3 0.747 0.736 0.000
C4 0.742 0.433 0.653
C5 0.253 0.264 0.000
C6 0.258 0.915 0.653
Pa1 0.500 0.166 0.669
Pa2 0.000 0.667 0.666
Pa3 0.500 0.500 0.000
Pa4 0.000 0.333 0.334
Pa5 0.500 0.834 0.331

Entry from the Alexandria database: a geometry-optimized Ba6Na23Au structure (PBE).

Computed properties:
The value obtained for the theoretical density is 2.055 g cm⁻³. As for the calculated volume: 41.7 Å³ per atom. For the energy, the calculation gives -1.573 eV per atom. Its total moment is 0.000 μB/atom.

Unit cell a=12.098 b=12.098 c=12.098 alpha=60.00 beta=60.00 gamma=60.00
Fractional coordinates of all 30 atoms:
Ba1 0.307 0.307 0.693
Ba2 0.693 0.307 0.693
Ba3 0.693 0.693 0.307
Ba4 0.307 0.693 0.693
Ba5 0.693 0.307 0.307
Ba6 0.307 0.693 0.307
Na1 0.500 0.000 0.000
Na2 0.647 0.118 0.118
Na3 0.000 0.500 0.000
Na4 0.328 0.328 0.328
Na5 0.000 0.000 0.500
Na6 0.500 0.500 0.000
Na7 0.328 0.328 0.017
Na8 0.118 0.647 0.118
Na9 0.353 0.882 0.882
Na10 0.983 0.672 0.672
Na11 0.500 0.000 0.500
Na12 0.328 0.017 0.328
Na13 0.000 0.000 0.000
Na14 0.118 0.118 0.647
Na15 0.672 0.672 0.983
Na16 0.882 0.353 0.882
Na17 0.672 0.983 0.672
Na18 0.118 0.118 0.118
Na19 0.017 0.328 0.328
Na20 0.882 0.882 0.353
Na21 0.882 0.882 0.882
Na22 0.672 0.672 0.672
Na23 0.000 0.500 0.500
Au1 0.500 0.500 0.500

Entry from the Alexandria database: a geometry-optimized Pa2TlSn9 structure (PBE).

Computed properties:
The value obtained for the theoretical density is 9.118 g cm⁻³. As for the calculated volume: 26.3 Å³ per atom. For the energy, the calculation gives -4.928 eV per atom. Its total moment is 0.000 μB/atom.

Unit cell a=4.634 b=4.634 c=14.712 alpha=90.00 beta=90.00 gamma=90.00
Fractional coordinates of all 12 atoms:
Sn1 0.000 0.500 0.822
Sn2 0.500 0.000 0.822
Sn3 0.500 0.500 0.000
Sn4 0.500 0.500 0.339
Sn5 0.500 0.000 0.178
Sn6 0.500 0.500 0.661
Sn7 0.000 0.500 0.500
Sn8 0.500 0.000 0.500
Sn9 0.000 0.500 0.178
Pa1 0.000 0.000 0.654
Pa2 0.000 0.000 0.346
Tl1 0.000 0.000 0.000